A plane-wave DFT calculation with SCAN was carried out for a PBEsol-optimized structure of K2CaMo.

The density of states at the Fermi level comes out at 12.4 states/eV per cell. As for the formation energy from the elements: 1.197 eV/atom. As for the uncorrected energy: -56.4 eV/f.u. Its distance to the lowest polymorph of the same formula is 279 meV/atom. The total magnetization is 19.26 Bohr magnetons per cell.

It has space group Fm-3m (No. 225), with a = 8.594 Å, b = 8.594 Å, c = 8.594 Å, α = 90.00°, β = 90.00° and γ = 90.00°. The inequivalent atoms are K at (0.250, 0.250, 0.250), Ca at (0.000, 0.000, 0.000) and Mo at (0.000, 0.000, 0.500).